Here is a geometry-optimized TlCr2Fe structure from the Alexandria database. Energies are from GGA-PBE.

Calculated values
The space group is R-3m, No. 166. Its formation energy is 0.828 eV/atom. The calculation puts the calculated density at 9.8 g/cm3. For the energy relative to the lowest polymorph listed for this composition, the calculation gives 356 meV/atom. For the density of states at the Fermi level, the calculation gives 5.3 states/eV/f.u.

Unit cell a=8.565 b=8.565 c=8.565 alpha=19.54 beta=19.54 gamma=19.54
Fractional coordinates of all 4 atoms:
1 Tl 0.750 0.750 0.750
2 Cr 0.988 0.988 0.988
3 Cr 0.512 0.512 0.512
4 Fe 0.250 0.250 0.250

Here is a geometry-optimized TmCrFe4 structure from the Alexandria database. Energies are from GGA-PBE.

Calculated values
The space group is F-43m, No. 216. Its formation energy is 0.124 eV/atom. The calculation puts the calculated density at 9.0 g/cm3. For the density of states at the Fermi level, the calculation gives 8.6 states/eV/f.u.

Unit cell a=4.867 b=4.867 c=4.867 alpha=60.00 beta=60.00 gamma=60.00
Fractional coordinates of all 6 atoms:
1 Fe 0.624 0.624 0.128
2 Fe 0.128 0.624 0.624
3 Fe 0.624 0.624 0.624
4 Fe 0.624 0.128 0.624
5 Tm 0.000 0.000 0.000
6 Cr 0.250 0.250 0.250

Here is a geometry-optimized TmCr2Fe10 structure from the Alexandria database. Energies are from GGA-PBE.

Calculated values
The space group is Immm, No. 71. Its formation energy is -0.011 eV/atom. The calculation puts the calculated density at 8.5 g/cm3. For the density of states at the Fermi level, the calculation gives 12.8 states/eV/f.u.

Unit cell a=6.348 b=6.348 c=6.348 alpha=136.92 beta=98.32 gamma=97.18
Fractional coordinates of all 13 atoms:
1 Fe 0.228 0.728 0.500
2 Fe 0.500 0.500 0.500
3 Fe 0.358 0.000 0.358
4 Fe 0.000 0.500 0.000
5 Fe 0.500 0.000 0.000
6 Fe 0.778 0.500 0.278
7 Fe 0.000 0.000 0.500
8 Fe 0.222 0.500 0.722
9 Fe 0.772 0.272 0.500
10 Fe 0.642 0.000 0.642
11 Cr 0.632 0.632 0.000
12 Cr 0.368 0.368 0.000
13 Tm 0.000 0.000 0.000

Here is a geometry-optimized U24CrFe3 structure from the Alexandria database. Energies are from GGA-PBE.

Calculated values
The space group is C222, No. 21. Its formation energy is 0.023 eV/atom. The calculation puts the calculated density at 18.2 g/cm3. For the density of states at the Fermi level, the calculation gives 71.9 states/eV/f.u.

Unit cell a=7.625 b=7.625 c=14.441 alpha=90.00 beta=90.00 gamma=139.76
Fractional coordinates of all 28 atoms:
1 U 0.095 0.408 0.249
2 U 0.192 0.310 0.840
3 U 0.590 0.909 0.556
4 U 0.000 0.500 0.655
5 U 0.096 0.411 0.061
6 U 0.500 0.000 0.158
7 U 0.909 0.590 0.444
8 U 0.692 0.810 0.341
9 U 0.808 0.690 0.840
10 U 0.410 0.091 0.556
11 U 0.500 0.000 0.345
12 U 0.000 0.500 0.842
13 U 0.810 0.692 0.659
14 U 0.690 0.808 0.160
15 U 0.091 0.410 0.444
16 U 0.589 0.904 0.939
17 U 0.190 0.308 0.659
18 U 0.308 0.190 0.341
19 U 0.411 0.096 0.939
20 U 0.408 0.095 0.751
21 U 0.905 0.592 0.249
22 U 0.310 0.192 0.160
23 U 0.592 0.905 0.751
24 U 0.904 0.589 0.061
25 Fe 0.000 0.000 0.500
26 Fe 0.500 0.500 0.000
27 Fe 0.500 0.500 0.500
28 Cr 0.000 0.000 0.000